SiBr2 | PBE | optimized geometry

Properties
Volume in Å³/f.u.: 74.55
ΔE_f (raw) in eV per atom: 0.030

Cell lengths 5.7859, 5.7859, 5.7859 Å; angles 109.51, 109.51, 109.40 degrees
Atoms (fractional coordinates):
Si (0.2500, 0.2500, 0.0000)
Si (0.7500, 0.7500, 0.0000)
Br (0.1860, 0.6860, 0.8720)
Br (0.3140, 0.1860, 0.5000)
Br (0.6860, 0.8140, 0.5000)
Br (0.8140, 0.3140, 0.1280)